1.
A plane-wave DFT calculation with PBE was carried out for crystalline LiCeTlCd at its relaxed geometry.

The space group is F-43m (No. 216) and the conventional cell measures 7.369, 7.369 and 7.369 Å, with angles of 90.00, 90.00 and 90.00 degrees. The asymmetric unit holds Li at (0.000, 0.000, 0.000), Ce at (0.000, 0.000, 0.500), Tl at (0.250, 0.250, 0.750) and Cd at (0.250, 0.250, 0.250).

The value obtained for the total energy is -3.012 eV per atom. The formation energy comes out at -0.230 eV/atom. Its crystal system is cubic. As for the calculated volume: 400.21 Å³ per cell.


2.
A plane-wave DFT calculation with PBE was carried out for crystalline Y3ScMn at its relaxed geometry.

The space group is Pm-3m (No. 221) and the conventional cell measures 5.236, 5.236 and 5.236 Å, with angles of 90.00, 90.00 and 90.00 degrees. The asymmetric unit holds Y at (0.000, 0.000, 0.500), Sc at (0.500, 0.500, 0.500) and Mn at (0.000, 0.000, 0.000).

Its energy above the most stable polymorph in this dataset is 0.0000 eV per atom. The value obtained for the total energy is -6.653 eV per atom. The formation energy comes out at 0.326 eV/atom. Its crystal system is cubic. As for the calculated volume: 143.51 Å³ per cell.


3.
A plane-wave DFT calculation with PBE was carried out for crystalline TmAlZnPt2 at its relaxed geometry.

The space group is I-4m2 (No. 119) and the conventional cell measures 3.842, 3.842 and 12.331 Å, with angles of 90.00, 90.00 and 90.00 degrees. The asymmetric unit holds Tm at (0.000, 0.000, 0.000), Al at (0.000, 0.500, 0.250), Zn at (0.000, 0.500, 0.750) and Pt at (0.000, 0.000, 0.390).

The value obtained for the total energy is -5.286 eV per atom. The formation energy comes out at -0.972 eV/atom. Its crystal system is tetragonal. As for the calculated volume: 182.02 Å³ per cell.


4.
A plane-wave DFT calculation with PBE was carried out for crystalline Y4Ge6Ir7 at its relaxed geometry.

The space group is Im-3m (No. 229) and the conventional cell measures 8.420, 8.420 and 8.420 Å, with angles of 90.00, 90.00 and 90.00 degrees. The asymmetric unit holds Y at (0.250, 0.250, 0.250), Ge at (0.000, 0.000, 0.319), Ir at (0.000, 0.000, 0.000) and Ir at (0.000, 0.250, 0.500).

The value obtained for the total energy is -7.659 eV per atom. The formation energy comes out at -0.859 eV/atom. Its crystal system is cubic. As for the calculated volume: 596.91 Å³ per cell.